YIrAu2 (PBE, relaxed); calculated total energy = -22.85 eV per formula unit; calculated volume = 20.52 Å³/atom; excess energy over the best structure of this formula in the dataset = 249.8 meV/atom; formation enthalpy at 0 K = -0.241 eV/atom
1.0
-2.0088 2.0088 10.1679
2.0088 -2.0088 10.1679
2.0088 2.0088 -10.1679
Y Ir Au
2 2 4
Cartesian
0.0000 0.0000 0.0000 Y
0.0000 2.0088 5.0839 Y
2.0088 0.0000 5.0839 Ir
0.0000 0.0000 10.1679 Ir
1.0044 -0.9275 7.6259 Au
1.0814 1.0044 2.5420 Au
1.0044 2.9363 -2.5420 Au
0.9275 1.0044 12.7098 Au

YIrAu2 (PBE, relaxed); calculated total energy = -23.01 eV per formula unit; calculated volume = 19.93 Å³/atom; excess energy over the best structure of this formula in the dataset = 208.5 meV/atom; formation enthalpy at 0 K = -0.283 eV/atom
1.0
3.2613 0.0000 0.0000
0.0000 4.7244 0.0000
-1.2307 0.0000 5.1739
Y Ir Au
1 1 2
Cartesian
0.0000 0.0000 0.0000 Y
1.0153 0.0000 2.5870 Ir
0.3152 2.3622 3.8004 Au
1.7155 2.3622 1.3735 Au

YIrAu2 (PBE, relaxed); calculated total energy = -23.21 eV per formula unit; calculated volume = 19.30 Å³/atom; excess energy over the best structure of this formula in the dataset = 158.0 meV/atom; formation enthalpy at 0 K = -0.333 eV/atom
1.0
0.0000 3.3799 3.3799
3.3799 0.0000 3.3799
3.3799 3.3799 0.0000
Y Ir Au
1 1 2
Cartesian
0.0000 0.0000 0.0000 Y
5.0698 5.0698 5.0698 Ir
1.6899 1.6899 1.6899 Au
3.3799 3.3799 3.3799 Au

YIrAu (PBE, relaxed); calculated total energy = -19.54 eV per formula unit; calculated volume = 23.08 Å³/atom; excess energy over the best structure of this formula in the dataset = 152.4 meV/atom; formation enthalpy at 0 K = -0.314 eV/atom
1.0
0.0000 3.2591 3.2591
3.2591 0.0000 3.2591
3.2591 3.2591 0.0000
Y Ir Au
1 1 1
Cartesian
0.0000 0.0000 0.0000 Y
4.8886 4.8886 4.8886 Ir
3.2591 3.2591 3.2591 Au

Y4IrAu (PBE, relaxed); calculated total energy = -34.84 eV per formula unit; calculated volume = 24.57 Å³/atom; excess energy over the best structure of this formula in the dataset = 1147.8 meV/atom; formation enthalpy at 0 K = 0.525 eV/atom
1.0
0.0000 4.1931 4.1931
4.1931 0.0000 4.1931
4.1931 4.1931 0.0000
Y Ir Au
4 1 1
Cartesian
3.1535 3.1535 3.1535 Y
5.2326 5.2326 3.1535 Y
5.2326 3.1535 5.2326 Y
3.1535 5.2326 5.2326 Y
6.2896 6.2896 6.2896 Ir
0.0000 0.0000 0.0000 Au

YIrAu2 (PBE, relaxed); calculated total energy = -23.03 eV per formula unit; calculated volume = 19.48 Å³/atom; excess energy over the best structure of this formula in the dataset = 202.9 meV/atom; formation enthalpy at 0 K = -0.288 eV/atom
1.0
3.7040 0.0000 0.0000
0.0000 3.7040 0.0000
0.0000 0.0000 5.6805
Y Ir Au
1 1 2
Cartesian
0.0000 0.0000 0.0000 Y
0.0000 0.0000 2.8402 Ir
1.8520 1.8520 1.4716 Au
1.8520 1.8520 4.2089 Au

Y5Ir4Au (PBE, relaxed); calculated total energy = -79.01 eV per formula unit; calculated volume = 20.97 Å³/atom; formation enthalpy at 0 K = -0.797 eV/atom
1.0
3.4438 0.0000 0.0000
0.0000 3.4438 0.0000
0.0000 0.0000 17.6826
Y Ir Au
5 4 1
Cartesian
0.0000 0.0000 0.0000 Y
0.0000 0.0000 3.4391 Y
0.0000 0.0000 6.8566 Y
0.0000 0.0000 10.8260 Y
0.0000 0.0000 14.2436 Y
1.7219 1.7219 1.7290 Ir
1.7219 1.7219 5.2065 Ir
1.7219 1.7219 12.4761 Ir
1.7219 1.7219 15.9536 Ir
1.7219 1.7219 8.8413 Au

YIrAu2 (PBE, relaxed); calculated total energy = -23.26 eV per formula unit; calculated volume = 19.33 Å³/atom; excess energy over the best structure of this formula in the dataset = 146.7 meV/atom; formation enthalpy at 0 K = -0.345 eV/atom
1.0
0.0000 3.3814 3.3814
3.3814 0.0000 3.3814
3.3814 3.3814 0.0000
Y Ir Au
1 1 2
Cartesian
0.0000 0.0000 0.0000 Y
3.3814 3.3814 3.3814 Ir
1.6907 1.6907 1.6907 Au
5.0721 5.0721 5.0721 Au

Y8Ir2Au (PBE, relaxed); calculated total energy = -77.67 eV per formula unit; calculated volume = 27.61 Å³/atom; formation enthalpy at 0 K = -0.451 eV/atom
1.0
4.2935 -6.4204 0.0000
4.2935 6.4204 0.0000
-1.5639 0.0000 5.5086
Y Ir Au
8 2 1
Cartesian
0.0000 0.0000 0.0000 Y
0.4822 1.6849 3.3113 Y
2.8868 2.9969 1.0458 Y
0.4822 -1.6849 3.3113 Y
3.6815 1.6813 4.3301 Y
2.8868 -2.9969 1.0458 Y
3.6815 -1.6813 4.3301 Y
5.7949 0.0000 2.1067 Y
2.0888 3.9780 3.8109 Ir
2.0888 -3.9780 3.8109 Ir
3.0829 0.0000 0.4396 Au

YIrAu2 (PBE, relaxed); calculated total energy = -20.87 eV per formula unit; calculated volume = 19.10 Å³/atom; excess energy over the best structure of this formula in the dataset = 743.5 meV/atom; formation enthalpy at 0 K = 0.252 eV/atom
1.0
1.5159 0.8752 9.5982
-1.5159 0.8752 9.5982
0.0000 -1.7504 9.5982
Y Ir Au
1 1 2
Cartesian
0.0000 0.0000 0.0000 Y
0.0000 0.0000 14.3974 Ir
0.0000 0.0000 7.0671 Au
0.0000 0.0000 21.7276 Au

Y3IrAu (PBE, relaxed); calculated total energy = -33.23 eV per formula unit; calculated volume = 30.45 Å³/atom; excess energy over the best structure of this formula in the dataset = 0.0 meV/atom; formation enthalpy at 0 K = -0.340 eV/atom
1.0
5.3399 0.0000 0.0000
0.0000 5.3399 0.0000
0.0000 0.0000 5.3399
Y Ir Au
3 1 1
Cartesian
0.0000 0.0000 2.6700 Y
0.0000 2.6700 0.0000 Y
2.6700 0.0000 0.0000 Y
0.0000 0.0000 0.0000 Ir
2.6700 2.6700 2.6700 Au

YIrAu2 (PBE, relaxed); calculated total energy = -23.47 eV per formula unit; calculated volume = 19.33 Å³/atom; excess energy over the best structure of this formula in the dataset = 94.6 meV/atom; formation enthalpy at 0 K = -0.397 eV/atom
1.0
3.4143 0.0000 0.0000
0.0000 3.8298 0.0000
-0.0190 0.0000 5.9135
Y Ir Au
1 1 2
Cartesian
0.0000 0.0000 0.0000 Y
1.6893 1.9149 4.5054 Ir
-0.0047 0.0000 3.0359 Au
1.7053 1.9149 1.6511 Au

Y4IrAu (PBE, relaxed); calculated total energy = -41.44 eV per formula unit; calculated volume = 27.76 Å³/atom; excess energy over the best structure of this formula in the dataset = 48.5 meV/atom; formation enthalpy at 0 K = -0.574 eV/atom
1.0
4.9281 -4.8851 0.0000
4.9281 4.8851 0.0000
-4.9106 0.0000 6.9178
Y Ir Au
8 2 2
Cartesian
1.2159 1.1403 0.0010 Y
-1.2394 -1.1403 3.4599 Y
1.2245 1.3030 3.4585 Y
6.1764 1.3030 0.0005 Y
-1.2308 -1.3030 6.9174 Y
3.7211 -1.3030 3.4594 Y
6.1850 1.1403 3.4580 Y
3.7297 -1.1403 6.9169 Y
1.2451 3.6644 5.1884 Ir
3.7004 -3.6644 1.7295 Ir
3.7004 1.2208 1.7295 Au
1.2451 -1.2208 5.1884 Au

YIrAu4 (PBE, relaxed); calculated total energy = -29.35 eV per formula unit; calculated volume = 19.29 Å³/atom; formation enthalpy at 0 K = -0.152 eV/atom
1.0
0.0000 3.8677 3.8677
3.8677 0.0000 3.8677
3.8677 3.8677 0.0000
Y Ir Au
1 1 4
Cartesian
0.0000 0.0000 0.0000 Y
1.9338 1.9338 1.9338 Ir
4.8314 2.9040 2.9040 Au
2.9040 4.8314 2.9040 Au
2.9040 2.9040 4.8314 Au
4.8314 4.8314 4.8314 Au

YIr3Au (PBE, relaxed); calculated total energy = -29.72 eV per formula unit; calculated volume = 23.19 Å³/atom; formation enthalpy at 0 K = 1.321 eV/atom
1.0
4.8761 0.0000 0.0000
0.0000 4.8761 0.0000
0.0000 0.0000 4.8761
Y Ir Au
1 3 1
Cartesian
0.0000 0.0000 0.0000 Y
0.0000 2.4380 2.4380 Ir
2.4380 0.0000 2.4380 Ir
2.4380 2.4380 0.0000 Ir
2.4380 2.4380 2.4380 Au

YIrAu (PBE, relaxed); calculated total energy = -18.57 eV per formula unit; calculated volume = 23.57 Å³/atom; excess energy over the best structure of this formula in the dataset = 477.0 meV/atom; formation enthalpy at 0 K = 0.011 eV/atom
1.0
0.0000 3.2819 3.2819
3.2819 0.0000 3.2819
3.2819 3.2819 0.0000
Y Ir Au
1 1 1
Cartesian
0.0000 0.0000 0.0000 Y
4.9229 4.9229 4.9229 Ir
1.6410 1.6410 1.6410 Au

Zn2IrAu (PBE, relaxed); calculated total energy = -14.88 eV per formula unit; calculated volume = 15.25 Å³/atom; formation enthalpy at 0 K = -0.048 eV/atom
1.0
-1.9131 1.9131 4.1656
1.9131 -1.9131 4.1656
1.9131 1.9131 -4.1656
Zn Ir Au
2 1 1
Cartesian
0.0000 0.0000 0.0000 Zn
0.0000 1.9131 2.0828 Zn
0.0000 0.0000 4.1656 Ir
1.9131 0.0000 2.0828 Au

Zn2Ir2Au (PBE, relaxed); calculated total energy = -22.91 eV per formula unit; calculated volume = 15.46 Å³/atom; excess energy over the best structure of this formula in the dataset = 73.0 meV/atom; formation enthalpy at 0 K = 0.127 eV/atom
1.0
7.4036 0.0000 0.0000
0.0000 7.4036 0.0000
0.0000 0.0000 2.8210
Zn Ir Au
4 4 2
Cartesian
1.1892 2.5126 0.0000 Zn
2.5126 6.2144 0.0000 Zn
4.8910 1.1892 0.0000 Zn
6.2144 4.8910 0.0000 Zn
0.9997 4.7014 1.4105 Ir
2.7021 0.9997 1.4105 Ir
4.7014 6.4039 1.4105 Ir
6.4039 2.7021 1.4105 Ir
0.0000 0.0000 0.0000 Au
3.7018 3.7018 0.0000 Au

Zn6IrAu (PBE, relaxed); calculated total energy = -20.68 eV per formula unit; calculated volume = 14.99 Å³/atom; excess energy over the best structure of this formula in the dataset = 40.8 meV/atom; formation enthalpy at 0 K = -0.112 eV/atom
1.0
0.0000 3.7759 5.4329
2.9234 0.0000 5.4329
2.9234 3.7759 0.0000
Zn Ir Au
6 1 1
Cartesian
1.4617 1.8880 1.3502 Zn
2.9234 3.7759 2.6306 Zn
1.4617 1.8880 4.0826 Zn
4.3852 5.6639 6.7831 Zn
2.9234 3.7759 8.2351 Zn
4.3852 5.6639 9.5155 Zn
0.0000 0.0000 0.0000 Ir
2.9234 3.7759 5.4329 Au

Zn4IrAu (PBE, relaxed); calculated total energy = -18.15 eV per formula unit; calculated volume = 14.78 Å³/atom; excess energy over the best structure of this formula in the dataset = 0.0 meV/atom; formation enthalpy at 0 K = -0.152 eV/atom
1.0
-2.1240 2.7669 3.7720
2.1240 -2.7669 3.7720
2.1240 2.7669 -3.7720
Zn Ir Au
4 1 1
Cartesian
2.1240 -1.4270 2.5240 Zn
0.0000 1.3399 1.2481 Zn
2.1240 1.4270 2.5240 Zn
0.0000 4.1939 1.2481 Zn
2.1240 0.0000 0.0000 Ir
0.0000 0.0000 3.7720 Au

Zn2IrAu (PBE, relaxed); calculated total energy = -14.99 eV per formula unit; calculated volume = 15.44 Å³/atom; formation enthalpy at 0 K = -0.076 eV/atom
1.0
4.3128 -1.4903 0.0000
4.3128 1.4903 0.0000
-1.0316 0.0000 4.8041
Zn Ir Au
2 1 1
Cartesian
1.8745 0.0000 1.1100 Zn
5.7195 0.0000 3.6942 Zn
4.3128 0.0000 0.0000 Ir
-0.5158 0.0000 2.4021 Au

ZnIr2Au (PBE, relaxed); calculated total energy = -20.47 eV per formula unit; calculated volume = 16.67 Å³/atom; formation enthalpy at 0 K = 0.451 eV/atom
1.0
-1.8733 1.8733 9.5020
1.8733 -1.8733 9.5020
1.8733 1.8733 -9.5020
Zn Ir Au
2 4 2
Cartesian
0.0000 0.0000 0.0000 Zn
0.0000 1.8733 4.7510 Zn
2.8100 0.8887 -2.3755 Ir
0.8887 0.9367 2.3755 Ir
-0.9367 0.9846 7.1265 Ir
0.9846 0.9367 11.8775 Ir
1.8733 0.0000 4.7510 Au
0.0000 0.0000 9.5020 Au

Zn3IrAu (PBE, relaxed); calculated total energy = -15.80 eV per formula unit; calculated volume = 18.92 Å³/atom; excess energy over the best structure of this formula in the dataset = 0.0 meV/atom; formation enthalpy at 0 K = 0.031 eV/atom
1.0
3.5774 -5.5848 0.0000
3.5774 5.5848 0.0000
0.0000 0.0000 4.7345
Zn Ir Au
6 2 2
Cartesian
0.0000 0.0000 0.0000 Zn
0.0000 0.0000 2.3672 Zn
2.3004 3.2505 3.5508 Zn
4.8545 3.2505 3.5508 Zn
2.3004 -3.2505 1.1836 Zn
4.8545 -3.2505 1.1836 Zn
3.5774 3.3862 1.1836 Ir
3.5774 -3.3862 3.5508 Ir
3.5774 0.7081 1.1836 Au
3.5774 -0.7081 3.5508 Au

Zn2IrAu (PBE, relaxed); calculated total energy = -14.38 eV per formula unit; calculated volume = 15.59 Å³/atom; formation enthalpy at 0 K = 0.076 eV/atom
1.0
1.4299 -2.4085 0.0000
1.4299 2.4085 0.0000
0.0000 0.0000 9.0546
Zn Ir Au
2 1 1
Cartesian
0.0000 0.0000 0.0000 Zn
1.4299 0.0000 2.1804 Zn
1.4299 0.0000 6.9376 Ir
0.0000 0.0000 4.4662 Au

Zn2Ir2Au (PBE, relaxed); calculated total energy = -23.28 eV per formula unit; calculated volume = 15.57 Å³/atom; excess energy over the best structure of this formula in the dataset = 0.0 meV/atom; formation enthalpy at 0 K = 0.054 eV/atom
1.0
7.2853 0.0000 0.0000
0.0000 7.2853 0.0000
0.0000 0.0000 2.9344
Zn Ir Au
4 4 2
Cartesian
1.2454 2.3973 0.0000 Zn
2.3973 6.0399 0.0000 Zn
4.8881 1.2454 0.0000 Zn
6.0399 4.8881 0.0000 Zn
0.9262 4.5689 1.4672 Ir
2.7165 0.9262 1.4672 Ir
4.5689 6.3591 1.4672 Ir
6.3591 2.7165 1.4672 Ir
0.0000 0.0000 1.4672 Au
3.6427 3.6427 1.4672 Au

ZnIr2Au (PBE, relaxed); calculated total energy = -21.78 eV per formula unit; calculated volume = 15.28 Å³/atom; formation enthalpy at 0 K = 0.123 eV/atom
1.0
1.3930 0.8043 9.0944
-1.3930 0.8043 9.0944
0.0000 -1.6085 9.0944
Zn Ir Au
1 2 1
Cartesian
0.0000 0.0000 0.0000 Zn
0.0000 0.0000 6.9833 Ir
0.0000 0.0000 20.3000 Ir
0.0000 0.0000 13.6416 Au

Zn2IrAu (PBE, relaxed); calculated total energy = -15.14 eV per formula unit; calculated volume = 15.42 Å³/atom; formation enthalpy at 0 K = -0.115 eV/atom
1.0
1.4403 0.8316 8.5807
-1.4403 0.8316 8.5807
0.0000 -1.6631 8.5807
Zn Ir Au
2 1 1
Cartesian
0.0000 0.0000 6.3337 Zn
0.0000 0.0000 19.4083 Zn
0.0000 0.0000 12.8710 Ir
0.0000 0.0000 0.0000 Au